Version 1
First-principles (PBE) data for a relaxed structure of PmDyTlGa, as listed in the Alexandria database.

```
PmDyTlGa
1.0
3.6648 0.0000 0.0000
0.0000 3.6648 0.0000
0.0000 0.0000 7.7274
Pm Dy Tl Ga
1 1 1 1
direct
0.0000 0.0000 0.0000
0.0000 0.0000 0.4656
0.5000 0.5000 0.7237
0.5000 0.5000 0.2413
```

Version 2
First-principles (PBE) data for a relaxed structure of PmDyTlGa, as listed in the Alexandria database.

```
PmDyTlGa
1.0
0.0000 3.7396 3.7396
3.7396 0.0000 3.7396
3.7396 3.7396 0.0000
Pm Dy Tl Ga
1 1 1 1
direct
0.0000 0.0000 0.0000
0.5000 0.5000 0.5000
0.2500 0.2500 0.2500
0.7500 0.7500 0.7500
```

Most stable structure: version 1

Version 1
First-principles (PBE) data for a relaxed structure of PrDyGa4, as listed in the Alexandria database.

```
PrDyGa4
1.0
4.2513 0.0000 0.0000
-2.1256 3.6817 0.0000
0.0000 0.0000 8.4609
Pr Dy Ga
1 1 4
direct
0.0000 0.0000 0.0000
0.0000 0.0000 0.5000
0.3333 0.6667 0.2597
0.3333 0.6667 0.7403
0.6667 0.3333 0.2597
0.6667 0.3333 0.7403
```

Version 2
First-principles (PBE) data for a relaxed structure of PrDyGa4, as listed in the Alexandria database.

```
PrDyGa4
1.0
-2.1173 2.1173 7.4101
2.1173 -2.1173 7.4101
2.1173 2.1173 -7.4101
Pr Dy Ga
1 1 4
direct
0.0000 0.0000 0.0000
0.7500 0.2500 0.5000
0.1681 0.6681 0.5000
0.3319 0.8319 0.5000
0.4158 0.4158 0.0000
0.5842 0.5842 0.0000
```

Most stable structure: version 1

Version 1
First-principles (PBE) data for a relaxed structure of Pr2DyGa2, as listed in the Alexandria database.

```
Pr2DyGa2
1.0
6.0546 -2.3686 0.0000
6.0546 2.3686 0.0000
-5.6020 0.0000 9.6337
Pr Dy Ga
4 2 4
direct
0.0227 0.0227 0.1851
0.1900 0.1900 0.6017
0.8100 0.8100 0.3983
0.9773 0.9773 0.8149
0.2947 0.2947 0.1428
0.7054 0.7054 0.8572
0.3746 0.3746 0.9264
0.4586 0.4586 0.5888
0.5414 0.5414 0.4112
0.6254 0.6254 0.0736
```

Version 2
First-principles (PBE) data for a relaxed structure of Pr2DyGa2, as listed in the Alexandria database.

```
Pr2DyGa2
1.0
-2.3515 3.3211 4.3898
2.3515 -3.3211 4.3898
2.3515 3.3211 -4.3898
Pr Dy Ga
2 1 2
direct
0.1999 0.1999 0.0000
0.8001 0.8001 0.0000
0.5000 0.0000 0.5000
0.2031 0.5000 0.7031
0.7969 0.5000 0.2969
```

Most stable structure: version 2

Version 1
First-principles (PBE) data for a relaxed structure of Pr3DyGa4, as listed in the Alexandria database.

```
Pr3DyGa4
1.0
3.6848 0.0000 0.0000
0.0000 3.6848 0.0000
0.0000 0.0000 14.7851
Pr Dy Ga
3 1 4
direct
0.0000 0.0000 0.0000
0.0000 0.0000 0.2561
0.0000 0.0000 0.7439
0.0000 0.0000 0.5000
0.5000 0.5000 0.1281
0.5000 0.5000 0.3876
0.5000 0.5000 0.6124
0.5000 0.5000 0.8719
```

Version 2
First-principles (PBE) data for a relaxed structure of Pr3DyGa4, as listed in the Alexandria database.

```
Pr3DyGa4
1.0
-1.8997 3.4381 8.5130
1.8997 -3.4381 8.5130
1.8997 3.4381 -8.5130
Pr Dy Ga
3 1 4
direct
0.0000 0.0000 0.0000
0.2980 0.7980 0.5000
0.7020 0.2020 0.5000
0.5000 0.5000 0.0000
0.0657 0.3727 0.6930
0.3203 0.6273 0.6930
0.6797 0.3727 0.3070
0.9343 0.6273 0.3070
```

Most stable structure: version 1

Version 1
First-principles (PBE) data for a relaxed structure of Pr2DyGa6, as listed in the Alexandria database.

```
Pr2DyGa6
1.0
7.3884 0.0000 0.0000
-3.6942 6.3985 0.0000
0.0000 0.0000 4.2792
Pr Dy Ga
2 1 6
direct
0.3333 0.6667 0.0000
0.6667 0.3333 0.0000
0.0000 0.0000 0.0000
0.0000 0.3317 0.5000
0.0000 0.6683 0.5000
0.3317 0.0000 0.5000
0.3317 0.3317 0.5000
0.6683 0.0000 0.5000
0.6683 0.6683 0.5000
```

Version 2
First-principles (PBE) data for a relaxed structure of Pr2DyGa6, as listed in the Alexandria database.

```
Pr2DyGa6
1.0
-2.2012 3.5775 6.8639
2.2012 -3.5775 6.8639
2.2012 3.5775 -6.8639
Pr Dy Ga
2 1 6
direct
0.1320 0.1320 0.0000
0.8680 0.8680 0.0000
0.5000 0.0000 0.5000
0.1411 0.3256 0.8154
0.1912 0.5000 0.6912
0.4898 0.6744 0.8154
0.5102 0.3256 0.1846
0.8088 0.5000 0.3088
0.8589 0.6744 0.1846
```

Most stable structure: version 1

Version 1
First-principles (PBE) data for a relaxed structure of PrDy3Ga2, as listed in the Alexandria database.

```
PrDy3Ga2
1.0
8.0808 -2.5697 0.0000
8.0808 2.5697 0.0000
-4.0155 0.0000 7.8924
Pr Dy Ga
2 6 4
direct
0.1296 0.1296 0.1892
0.8704 0.8704 0.8108
0.0635 0.0635 0.7166
0.3118 0.3118 0.0090
0.3781 0.3781 0.4907
0.6219 0.6219 0.5093
0.6882 0.6882 0.9910
0.9365 0.9365 0.2834
0.2247 0.2247 0.6152
0.4893 0.4893 0.8504
0.5107 0.5107 0.1496
0.7753 0.7753 0.3848
```

Version 2
First-principles (PBE) data for a relaxed structure of PrDy3Ga2, as listed in the Alexandria database.

```
PrDy3Ga2
1.0
4.9827 0.0000 0.0000
0.0000 9.6161 0.0000
0.0000 0.0000 6.6446
Pr Dy Ga
2 6 4
direct
0.0000 0.0499 0.0000
0.0000 0.9501 0.5000
0.0000 0.3263 0.6274
0.0000 0.6737 0.1274
0.5000 0.1866 0.2891
0.5000 0.4459 0.9226
0.5000 0.5541 0.4226
0.5000 0.8134 0.7891
0.0000 0.3631 0.1692
0.0000 0.6369 0.6692
0.5000 0.1438 0.7448
0.5000 0.8562 0.2448
```

Most stable structure: version 2

Version 1
First-principles (PBE) data for a relaxed structure of PrDy2Ga2, as listed in the Alexandria database.

```
PrDy2Ga2
1.0
6.3145 -1.9056 0.0000
6.3145 1.9056 0.0000
-1.2938 0.0000 5.7057
Pr Dy Ga
1 2 2
direct
0.0000 0.0000 0.0000
0.3613 0.3613 0.4309
0.6387 0.6387 0.5691
0.2917 0.2917 0.8870
0.7083 0.7083 0.1130
```

Version 2
First-principles (PBE) data for a relaxed structure of PrDy2Ga2, as listed in the Alexandria database.

```
PrDy2Ga2
1.0
8.3700 0.0000 0.0000
0.0000 8.3700 0.0000
0.0000 0.0000 3.7091
Pr Dy Ga
2 4 4
direct
0.0000 0.0000 0.0000
0.5000 0.5000 0.0000
0.1743 0.3257 0.5000
0.3257 0.8257 0.5000
0.6743 0.1743 0.5000
0.8257 0.6743 0.5000
0.1202 0.6202 0.0000
0.3798 0.1202 0.0000
0.6202 0.8798 0.0000
0.8798 0.3798 0.0000
```

Most stable structure: version 2

Version 1
First-principles (PBE) data for a relaxed structure of PrDyGaRu, as listed in the Alexandria database.

```
PrDyGaRu
1.0
3.9337 0.0000 0.0000
0.0000 2.2085 5.4761
0.0000 -2.2085 5.4761
Pr Dy Ga Ru
1 1 1 1
direct
0.0000 0.0000 0.0000
0.5000 0.7144 0.7144
0.5000 0.4078 0.4078
0.0000 0.2569 0.2569
```

Version 2
First-principles (PBE) data for a relaxed structure of PrDyGaRu, as listed in the Alexandria database.

```
PrDyGaRu
1.0
0.0000 3.5645 3.5645
3.5645 0.0000 3.5645
3.5645 3.5645 0.0000
Pr Dy Ga Ru
1 1 1 1
direct
0.0000 0.0000 0.0000
0.5000 0.5000 0.5000
0.2500 0.2500 0.2500
0.7500 0.7500 0.7500
```

Most stable structure: version 1

Version 1
First-principles (PBE) data for a relaxed structure of Dy3Ga2Pt7, as listed in the Alexandria database.

```
Dy3Ga2Pt7
1.0
-2.0154 2.0154 13.8828
2.0154 -2.0154 13.8828
2.0154 2.0154 -13.8828
Dy Ga Pt
3 2 7
direct
0.0000 0.0000 0.0000
0.1761 0.1761 0.0000
0.8239 0.8239 0.0000
0.3686 0.3686 0.0000
0.6314 0.6314 0.0000
0.0781 0.5781 0.5000
0.2800 0.2800 0.0000
0.4219 0.9219 0.5000
0.5000 0.5000 0.0000
0.5781 0.0781 0.5000
0.7200 0.7200 0.0000
0.9219 0.4219 0.5000
```

Version 2
First-principles (PBE) data for a relaxed structure of Dy3Ga2Pt7, as listed in the Alexandria database.

```
Dy3Ga2Pt7
1.0
2.0391 -14.7172 0.0000
2.0391 14.7172 0.0000
0.0000 0.0000 4.0277
Dy Ga Pt
3 2 7
direct
0.0000 0.0000 0.0000
0.2030 0.7970 0.0000
0.7970 0.2030 0.0000
0.4167 0.5833 0.5000
0.5833 0.4167 0.5000
0.1345 0.8655 0.5000
0.2864 0.7136 0.5000
0.3651 0.6349 0.0000
0.5000 0.5000 0.5000
0.6349 0.3651 0.0000
0.7136 0.2864 0.5000
0.8655 0.1345 0.5000
```

Most stable structure: version 1

Version 1
First-principles (PBE) data for a relaxed structure of DyPu2Ga6, as listed in the Alexandria database.

```
DyPu2Ga6
1.0
-2.2001 3.5276 6.4775
2.2001 -3.5276 6.4775
2.2001 3.5276 -6.4775
Dy Pu Ga
1 2 6
direct
0.0000 0.0000 0.0000
0.3837 0.8837 0.5000
0.6163 0.1163 0.5000
0.0052 0.3118 0.6934
0.2998 0.5000 0.7998
0.3816 0.6882 0.6934
0.6184 0.3118 0.3066
0.7002 0.5000 0.2002
0.9948 0.6882 0.3066
```

Version 2
First-principles (PBE) data for a relaxed structure of DyPu2Ga6, as listed in the Alexandria database.

```
DyPu2Ga6
1.0
7.8142 0.0000 0.0000
-3.9071 6.7673 0.0000
0.0000 0.0000 3.4833
Dy Pu Ga
1 2 6
direct
0.0000 0.0000 0.0000
0.3333 0.6667 0.0000
0.6667 0.3333 0.0000
0.0000 0.3320 0.5000
0.0000 0.6680 0.5000
0.3320 0.0000 0.5000
0.3320 0.3320 0.5000
0.6680 0.0000 0.5000
0.6680 0.6680 0.5000
```

Most stable structure: version 2

Version 1
First-principles (PBE) data for a relaxed structure of DyPuGa4, as listed in the Alexandria database.

```
DyPuGa4
1.0
0.0000 3.9054 3.9054
3.9054 0.0000 3.9054
3.9054 3.9054 0.0000
Dy Pu Ga
1 1 4
direct
0.0000 0.0000 0.0000
0.7500 0.7500 0.7500
0.3753 0.3753 0.3753
0.3753 0.3753 0.8741
0.3753 0.8741 0.3753
0.8741 0.3753 0.3753
```

Version 2
First-principles (PBE) data for a relaxed structure of DyPuGa4, as listed in the Alexandria database.

```
DyPuGa4
1.0
-2.2123 3.6410 3.8368
2.2123 -3.6410 3.8368
2.2123 3.6410 -3.8368
Dy Pu Ga
1 1 4
direct
0.0000 0.0000 0.0000
0.5000 0.0000 0.5000
0.0818 0.3331 0.7488
0.4157 0.6669 0.7488
0.5843 0.3331 0.2512
0.9182 0.6669 0.2512
```

Most stable structure: version 2

Version 1
First-principles (PBE) data for a relaxed structure of Dy2GaRh3, as listed in the Alexandria database.

```
Dy2GaRh3
1.0
2.8048 1.6194 3.9707
-2.8048 1.6194 3.9707
0.0000 -3.2387 3.9707
Dy Ga Rh
2 1 3
direct
0.1302 0.1302 0.1302
0.8698 0.8698 0.8698
0.5000 0.5000 0.5000
0.0000 0.5000 0.5000
0.5000 0.0000 0.5000
0.5000 0.5000 0.0000
```

Version 2
First-principles (PBE) data for a relaxed structure of Dy2GaRh3, as listed in the Alexandria database.

```
Dy2GaRh3
1.0
-2.2359 2.6704 4.8963
2.2359 -2.6704 4.8963
2.2359 2.6704 -4.8963
Dy Ga Rh
2 1 3
direct
0.1856 0.1856 0.0000
0.8144 0.8144 0.0000
0.5000 0.5000 0.0000
0.0000 0.5000 0.5000
0.3651 0.8651 0.5000
0.6349 0.1349 0.5000
```

Most stable structure: version 1